Compound: Sm12Tl3Pb
Source: Alexandria
Functional: PBE-GGA
Structure: relaxed

The calculation puts the density of states at the Fermi level at 1.52 states/eV per atom. The total magnetization is 0.000 μB per atom. The energy of formation from the pure elements comes out at -0.23 eV per atom.

abc: 4.9385 4.9385 19.7714
angles: 90.00 90.00 90.00
Closest atoms and distances in Å follow each position.
Fractional coordinates of all 16 atoms:
Sm (0.0000, 0.0000, 0.0000)  4 Tl 3.49, 8 Sm 3.50
Sm (0.0000, 0.0000, 0.2504)  8 Sm 3.49, 4 Tl 3.49
Sm (0.0000, 0.0000, 0.5000)  8 Sm 3.49, 4 Pb 3.49
Sm (0.0000, 0.0000, 0.7496)  8 Sm 3.49, 4 Tl 3.49
Sm (0.0000, 0.5000, 0.1254)  4 Tl 3.48-3.50, 8 Sm 3.49-3.50
Sm (0.0000, 0.5000, 0.3753)  2 Pb 3.49, 8 Sm 3.49, 2 Tl 3.51
Sm (0.0000, 0.5000, 0.6247)  2 Pb 3.49, 8 Sm 3.49, 2 Tl 3.51
Sm (0.0000, 0.5000, 0.8746)  4 Tl 3.48-3.50, 8 Sm 3.49-3.50
Sm (0.5000, 0.0000, 0.1254)  4 Tl 3.48-3.50, 8 Sm 3.49-3.50
Sm (0.5000, 0.0000, 0.3753)  2 Pb 3.49, 8 Sm 3.49, 2 Tl 3.51
Sm (0.5000, 0.0000, 0.6247)  2 Pb 3.49, 8 Sm 3.49, 2 Tl 3.51
Sm (0.5000, 0.0000, 0.8746)  4 Tl 3.48-3.50, 8 Sm 3.49-3.50
Tl (0.5000, 0.5000, 0.0000)  12 Sm 3.49-3.50
Tl (0.5000, 0.5000, 0.2494)  12 Sm 3.48-3.51
Tl (0.5000, 0.5000, 0.7506)  12 Sm 3.48-3.51
Pb (0.5000, 0.5000, 0.5000)  12 Sm 3.49